(1)
Below is a crystal of TcSbNF2 relaxed with PBEsol, with properties calculated at the SCAN level.

Geometry as POSCAR:
```
TcSbNF2
1.0
3.785 0.000 0.000
0.000 4.219 0.000
0.000 0.000 4.219
N Tc F Sb
1 1 2 1
direct
0.500 0.000 0.000
0.000 0.000 0.000
0.000 0.500 0.000
0.000 0.000 0.500
0.500 0.500 0.500
```

=====

(2)
Below is a crystal of TcSbN2F relaxed with PBEsol, with properties calculated at the SCAN level.

Geometry as POSCAR:
```
TcSbN2F
1.0
-1.401 -2.786 -2.338
3.630 -1.222 -0.719
-0.230 -2.558 3.186
N F Sb Tc
2 1 1 1
direct
0.000 0.500 0.000
0.500 0.000 0.000
0.000 0.000 0.500
0.500 0.500 0.500
0.000 0.000 0.000
```

=====

(3)
Below is a crystal of SbTe2NF relaxed with PBEsol, with properties calculated at the SCAN level.

Geometry as POSCAR:
```
SbTe2NF
1.0
4.612 0.000 0.000
0.000 5.015 0.000
0.000 0.000 5.015
N Sb F Te
1 1 1 2
direct
0.500 0.500 0.500
0.500 0.000 0.000
0.000 0.000 0.000
0.000 0.500 0.000
0.000 0.000 0.500
```

Values from the calculation:
The energy above the lowest structure with this stoichiometry comes out at 134.8 meV/atom.

=====

(4)
Below is a crystal of SbTe2NF relaxed with PBEsol, with properties calculated at the SCAN level.

Geometry as POSCAR:
```
SbTe2NF
1.0
-3.116 -0.068 2.204
-2.677 -3.269 -3.885
1.957 -4.717 2.620
Te F N Sb
2 1 1 1
direct
0.000 0.000 0.500
0.000 0.500 0.000
0.500 0.500 0.500
0.500 0.000 0.000
0.000 0.000 0.000
```

Values from the calculation:
The energy above the lowest structure with this stoichiometry comes out at 0.0 meV/atom.

=====

(5)
Below is a crystal of ZnSbN2F relaxed with PBEsol, with properties calculated at the SCAN level.

Geometry as POSCAR:
```
ZnSbN2F
1.0
-1.959 -1.987 2.713
2.907 -2.580 0.209
1.703 2.145 2.801
F N Sb Zn
1 2 1 1
direct
0.000 0.000 0.500
0.500 0.000 0.000
0.000 0.500 0.000
0.500 0.500 0.500
0.000 0.000 0.000
```

=====

(6)
Below is a crystal of Sc3NF relaxed with PBEsol, with properties calculated at the SCAN level.

Geometry as POSCAR:
```
Sc3NF
1.0
4.358 0.000 0.000
0.000 4.358 0.000
0.000 0.000 4.358
F Sc N
1 3 1
direct
0.500 0.500 0.500
0.000 0.500 0.000
0.500 0.000 0.000
0.000 0.000 0.500
0.000 0.000 0.000
```

=====

(7)
Below is a crystal of ScSeN2F relaxed with PBEsol, with properties calculated at the SCAN level.

Geometry as POSCAR:
```
ScSeN2F
1.0
-2.308 -3.085 0.475
0.970 -1.290 -3.667
3.072 -2.062 1.538
F N Sc Se
1 2 1 1
direct
0.000 0.000 0.000
0.000 0.500 0.000
0.000 0.000 0.500
0.500 0.500 0.500
0.500 0.000 0.000
```

Values from the calculation:
The energy above the lowest structure with this stoichiometry comes out at 1106.1 meV/atom.

=====

(8)
Below is a crystal of ScSeN2F relaxed with PBEsol, with properties calculated at the SCAN level.

Geometry as POSCAR:
```
ScSeN2F
1.0
-1.726 -3.413 0.026
3.383 -1.725 -1.868
1.679 -0.820 3.797
Sc Se F N
1 1 1 2
direct
0.000 0.000 0.000
0.500 0.500 0.500
0.500 0.000 0.000
0.000 0.500 0.000
0.000 0.000 0.500
```

Values from the calculation:
The energy above the lowest structure with this stoichiometry comes out at 0.0 meV/atom.

=====

(9)
Below is a crystal of ScSeN2F relaxed with PBEsol, with properties calculated at the SCAN level.

Geometry as POSCAR:
```
ScSeN2F
1.0
-3.279 2.129 -0.937
-2.164 -3.386 -0.121
-1.130 0.537 5.175
Sc N F Se
1 2 1 1
direct
0.000 0.000 0.000
0.000 0.500 0.000
0.500 0.000 0.000
0.500 0.500 0.500
0.000 0.000 0.500
```

Values from the calculation:
The energy above the lowest structure with this stoichiometry comes out at 730.2 meV/atom.

=====

(10)
Below is a crystal of ScSiNF2 relaxed with PBEsol, with properties calculated at the SCAN level.

Geometry as POSCAR:
```
ScSiNF2
1.0
3.355 0.000 0.000
0.000 4.145 0.000
0.000 0.000 4.145
Sc F Si N
1 2 1 1
direct
0.500 0.500 0.500
0.000 0.000 0.500
0.000 0.500 0.000
0.000 0.000 0.000
0.500 0.000 0.000
```

=====

(11)
Below is a crystal of ScTcNF2 relaxed with PBEsol, with properties calculated at the SCAN level.

Geometry as POSCAR:
```
ScTcNF2
1.0
-0.175 2.332 2.994
-4.106 -0.182 -0.098
0.084 -3.241 2.529
F N Sc Tc
2 1 1 1
direct
0.000 0.000 0.500
0.000 0.500 0.000
0.500 0.000 0.000
0.500 0.500 0.500
0.000 0.000 0.000
```

=====

(12)
Below is a crystal of SnSeNF2 relaxed with PBEsol, with properties calculated at the SCAN level.

Geometry as POSCAR:
```
SnSeNF2
1.0
-1.934 -2.058 2.966
3.600 -0.852 1.757
-0.273 3.530 2.272
Se N F Sn
1 1 2 1
direct
0.500 0.500 0.500
0.000 0.000 0.500
0.500 0.000 0.000
0.000 0.500 0.000
0.000 0.000 0.000
```

Values from the calculation:
The energy above the lowest structure with this stoichiometry comes out at 0.0 meV/atom.

=====

(13)
Below is a crystal of SnSeNF2 relaxed with PBEsol, with properties calculated at the SCAN level.

Geometry as POSCAR:
```
SnSeNF2
1.0
3.800 0.000 0.000
0.000 4.495 0.000
0.000 0.000 4.495
F Sn Se N
2 1 1 1
direct
0.000 0.500 0.000
0.000 0.000 0.500
0.500 0.500 0.500
0.000 0.000 0.000
0.500 0.000 0.000
```

Values from the calculation:
The energy above the lowest structure with this stoichiometry comes out at 244.4 meV/atom.

=====

(14)
Below is a crystal of TaSeNF2 relaxed with PBEsol, with properties calculated at the SCAN level.

Geometry as POSCAR:
```
TaSeNF2
1.0
-3.219 2.407 -0.177
-1.736 -2.105 2.956
1.720 2.505 2.794
F N Se Ta
2 1 1 1
direct
0.000 0.500 0.000
0.500 0.000 0.000
0.000 0.000 0.500
0.500 0.500 0.500
0.000 0.000 0.000
```

=====

(15)
Below is a crystal of YSe2NF relaxed with PBEsol, with properties calculated at the SCAN level.

Geometry as POSCAR:
```
YSe2NF
1.0
4.393 0.000 0.000
0.000 5.557 0.000
0.000 0.000 5.557
Se N Y F
2 1 1 1
direct
0.000 0.500 0.000
0.000 0.000 0.500
0.500 0.000 0.000
0.000 0.000 0.000
0.500 0.500 0.500
```

=====

(16)
Below is a crystal of SiNF3 relaxed with PBEsol, with properties calculated at the SCAN level.

Geometry as POSCAR:
```
SiNF3
1.0
-2.881 2.179 1.408
-2.235 -3.153 0.305
1.317 -0.585 3.599
F Si N
3 1 1
direct
0.000 0.500 0.500
0.500 0.500 0.000
0.500 0.000 0.500
0.000 0.000 0.000
0.500 0.500 0.500
```

=====

(17)
Below is a crystal of SiN2F6 relaxed with PBEsol, with properties calculated at the SCAN level.

Geometry as POSCAR:
```
SiN2F6
1.0
-4.189 -0.486 2.914
-1.261 -4.577 1.933
0.464 -0.874 5.030
F N Si
6 2 1
direct
0.766 0.234 0.234
0.234 0.766 0.766
0.234 0.234 0.766
0.766 0.766 0.234
0.766 0.234 0.766
0.234 0.766 0.234
0.750 0.750 0.750
0.250 0.250 0.250
0.000 0.000 0.000
```

Values from the calculation:
The energy above the lowest structure with this stoichiometry comes out at 25.0 meV/atom.

=====

(18)
Below is a crystal of SiN2F6 relaxed with PBEsol, with properties calculated at the SCAN level.

Geometry as POSCAR:
```
SiN2F6
1.0
4.800 0.000 0.000
0.000 4.886 0.000
0.000 -2.443 4.232
F N Si
6 2 1
direct
0.210 0.161 0.323
0.790 0.323 0.161
0.790 0.839 0.677
0.210 0.677 0.839
0.210 0.161 0.839
0.790 0.839 0.161
0.755 0.333 0.667
0.245 0.667 0.333
0.000 0.000 0.000
```

Values from the calculation:
The energy above the lowest structure with this stoichiometry comes out at 0.0 meV/atom.

=====

(19)
Below is a crystal of SrSnNF2 relaxed with PBEsol, with properties calculated at the SCAN level.

Geometry as POSCAR:
```
SrSnNF2
1.0
4.252 0.000 0.000
0.000 4.462 0.000
0.000 0.000 4.462
N Sr F Sn
1 1 2 1
direct
0.500 0.000 0.000
0.500 0.500 0.500
0.000 0.000 0.500
0.000 0.500 0.000
0.000 0.000 0.000
```

=====

(20)
Below is a crystal of TcSnNF2 relaxed with PBEsol, with properties calculated at the SCAN level.

Geometry as POSCAR:
```
TcSnNF2
1.0
-2.712 -2.404 1.732
-0.959 -1.669 -3.820
3.006 -2.993 0.553
N F Sn Tc
1 2 1 1
direct
0.500 0.000 0.000
0.000 0.500 0.000
0.000 0.000 0.500
0.000 0.000 0.000
0.500 0.500 0.500
```

=====

(21)
Below is a crystal of Y2SnNF relaxed with PBEsol, with properties calculated at the SCAN level.

Geometry as POSCAR:
```
Y2SnNF
1.0
-0.065 -4.512 -0.231
4.415 -0.014 -0.962
0.971 -0.242 4.459
F Y Sn N
1 2 1 1
direct
0.000 0.000 0.000
0.500 0.000 0.000
0.000 0.500 0.000
0.500 0.500 0.500
0.000 0.000 0.500
```

=====

(22)
Below is a crystal of ZrSnN2F relaxed with PBEsol, with properties calculated at the SCAN level.

Geometry as POSCAR:
```
ZrSnN2F
1.0
4.101 0.000 0.000
0.000 4.251 0.000
0.000 0.000 4.251
N Zr Sn F
2 1 1 1
direct
0.000 0.000 0.500
0.000 0.500 0.000
0.000 0.000 0.000
0.500 0.500 0.500
0.500 0.000 0.000
```

=====

(23)
Below is a crystal of SrN2F2 relaxed with PBEsol, with properties calculated at the SCAN level.

Geometry as POSCAR:
```
SrN2F2
1.0
3.604 0.000 0.000
0.000 3.604 0.000
0.000 0.000 4.875
N F Sr
2 2 1
direct
0.000 0.500 0.000
0.500 0.000 0.000
0.000 0.000 0.000
0.000 0.000 0.500
0.500 0.500 0.500
```

=====

(24)
Below is a crystal of SrZnN2F relaxed with PBEsol, with properties calculated at the SCAN level.

Geometry as POSCAR:
```
SrZnN2F
1.0
4.563 0.000 0.000
0.000 5.123 0.000
0.000 0.000 5.123
Zn N Sr F
1 2 1 1
direct
0.500 0.500 0.500
0.000 0.000 0.500
0.000 0.500 0.000
0.000 0.000 0.000
0.500 0.000 0.000
```

=====

(25)
Below is a crystal of TaNF3 relaxed with PBEsol, with properties calculated at the SCAN level.

Geometry as POSCAR:
```
TaNF3
1.0
4.014 0.000 0.000
0.000 4.014 0.000
0.000 0.000 4.014
N F Ta
1 3 1
direct
0.500 0.500 0.500
0.000 0.000 0.500
0.500 0.000 0.000
0.000 0.500 0.000
0.000 0.000 0.000
```

=====

(26)
Below is a crystal of TaNF2 relaxed with PBEsol, with properties calculated at the SCAN level.

Geometry as POSCAR:
```
TaNF2
1.0
-1.322 1.548 2.285
0.240 -1.016 2.877
7.261 5.072 2.813
F Ta N
2 1 1
direct
0.068 0.068 0.796
0.932 0.932 0.204
0.000 0.000 0.000
0.500 0.500 0.500
```

Values from the calculation:
The energy above the lowest structure with this stoichiometry comes out at 0.0 meV/atom.

=====

(27)
Below is a crystal of TaTlN2F relaxed with PBEsol, with properties calculated at the SCAN level.

Geometry as POSCAR:
```
TaTlN2F
1.0
-0.913 -1.821 3.542
3.634 -1.869 -0.025
1.664 3.208 2.079
N F Ta Tl
2 1 1 1
direct
0.500 0.000 0.000
0.000 0.500 0.000
0.000 0.000 0.500
0.000 0.000 0.000
0.500 0.500 0.500
```

=====

(28)
Below is a crystal of TcNF3 relaxed with PBEsol, with properties calculated at the SCAN level.

Geometry as POSCAR:
```
TcNF3
1.0
-0.281 -0.247 -3.887
0.553 -3.860 0.205
-3.855 -0.536 0.313
Tc F N
1 3 1
direct
0.500 0.500 0.500
0.000 0.000 0.500
0.000 0.500 0.000
0.500 0.000 0.000
0.000 0.000 0.000
```

=====

(29)
Below is a crystal of TcNF2 relaxed with PBEsol, with properties calculated at the SCAN level.

Geometry as POSCAR:
```
TcNF2
1.0
3.858 0.000 0.000
1.929 3.341 0.000
1.929 1.114 3.150
N Tc F
1 1 2
direct
0.000 0.000 0.000
0.500 0.500 0.500
0.750 0.750 0.750
0.250 0.250 0.250
```

=====

no.,total DFT energy (no corrections) (eV per atom)
1,-18.211
2,-18.781
3,-23.950
4,-24.085
5,-14.105
6,-12.060
7,-10.321
8,-11.427
9,-10.697
10,-9.443
11,-14.220
12,-14.876
13,-14.631
14,-21.656
15,-16.059
16,-5.528
17,-6.218
18,-6.243
19,-16.553
20,-17.605
21,-21.453
22,-18.657
23,-9.440
24,-11.125
25,-18.466
26,-21.148
27,-33.041
28,-10.529
29,-12.695